Record 1
# Na2SnC

Na2SnC at its PBEsol-relaxed geometry (meta-GGA SCAN, Alexandria via LeMat-Bulk).

CIF file:
```
data_Na2SnC
_chemical_formula_sum 'Na2 Sn1 C1'
_space_group_name_H-M_alt 'P 1'
_space_group_IT_number 1
_cell_length_a 4.746
_cell_length_b 4.746
_cell_length_c 4.746
_cell_angle_alpha 60.00
_cell_angle_beta 60.00
_cell_angle_gamma 60.00
loop_
_space_group_symop_operation_xyz
'x,y,z'
loop_
_atom_site_label
_atom_site_fract_x
_atom_site_fract_y
_atom_site_fract_z
_atom_site_occupancy
Na1 0.250 0.250 0.250 1
Na2 0.750 0.750 0.750 1
Sn1 0.000 0.000 0.000 1
C1 0.500 0.500 0.500 1
```

Values from the calculation:
Density in g cm⁻³: 3.88
Energy of formation from the pure elements in kJ/mol of formula units: 460
Density of states at the Fermi level in states/eV/cell: 1.03

---

Record 2
# K2ZrCo

K2ZrCo at its PBEsol-relaxed geometry (meta-GGA SCAN, Alexandria via LeMat-Bulk).

CIF file:
```
data_K2ZrCo
_chemical_formula_sum 'K2 Zr1 Co1'
_space_group_name_H-M_alt 'P 1'
_space_group_IT_number 1
_cell_length_a 4.534
_cell_length_b 4.534
_cell_length_c 5.453
_cell_angle_alpha 90.00
_cell_angle_beta 90.00
_cell_angle_gamma 90.00
loop_
_space_group_symop_operation_xyz
'x,y,z'
loop_
_atom_site_label
_atom_site_fract_x
_atom_site_fract_y
_atom_site_fract_z
_atom_site_occupancy
K1 0.000 0.000 0.241 1
K2 0.000 0.000 0.759 1
Zr1 0.500 0.500 0.500 1
Co1 0.500 0.500 0.000 1
```

Values from the calculation:
Density in g cm⁻³: 3.38
Energy of formation from the pure elements in kJ/mol of formula units: 530
Density of states at the Fermi level in states/eV/cell: 3.38
Energy above the lowest structure with this stoichiometry in meV per atom: 186